{
  "formula": "NbIrOs",
  "functional": "PBE",
  "state": "optimized geometry",
  "de_polymorph_mev_per_atom": 0,
  "crystal_system": "hexagonal",
  "vol_a3_per_cell": 94,
  "rho_g_cm3": 16.7,
  "lattice_angstrom": [[-3.166, -0.606, -3.055], [4.074, -1.634, -0.670], [-1.484, -4.715, 2.474]],
  "species": ["Ir", "Ir", "Nb", "Nb", "Os", "Os"],
  "fractional_positions": [[0.333, 0.167, 0.750], [0.667, 0.833, 0.250], [0.667, 0.833, 0.750], [0.333, 0.167, 0.250], [0.000, 0.500, 0.500], [0.000, 0.500, 0.000]]
}